1.
Density functional theory data (PBE) for a relaxed structure of AcVNiP2.

Formation enthalpy at 0 K = -4.7 eV/f.u.

Unit cell a=3.902 b=3.902 c=12.031 alpha=90.00 beta=90.00 gamma=90.00
Space group I-4m2 (No. 119)
Asymmetric unit:
Ac1 0.000 0.000 0.000 [2 per cell]
V1 0.000 0.500 0.250 [2 per cell]
Ni1 0.000 0.500 0.750 [2 per cell]
P1 0.000 0.000 0.356 [4 per cell]

2.
Density functional theory data (PBE) for a relaxed structure of AcZn2Ni2P.

Formation enthalpy at 0 K = -2.6 eV/f.u.

Unit cell a=4.321 b=4.321 c=5.894 alpha=90.00 beta=90.00 gamma=90.00
Space group P4/mmm (No. 123)
Asymmetric unit:
Ac1 0.000 0.000 0.000 [1 per cell]
Zn1 0.500 0.500 0.250 [2 per cell]
Ni1 0.000 0.500 0.500 [2 per cell]
P1 0.000 0.000 0.500 [1 per cell]

3.
Density functional theory data (PBE) for a relaxed structure of AcZnNi2P2.

Formation enthalpy at 0 K = -4.2 eV/f.u.

Unit cell a=4.0269 b=4.0269 c=7.0418 alpha=90.00 beta=90.00 gamma=120.00
Space group P-3m1 (No. 164)
Asymmetric unit:
Ac1 0.0000 0.0000 0.0000 [1 per cell]
Zn1 0.0000 0.0000 0.5000 [1 per cell]
Ni1 0.3333 0.6667 0.3620 [2 per cell]
P1 0.3333 0.6667 0.7100 [2 per cell]

4.
Density functional theory data (PBE) for a relaxed structure of AcPa2Ni.

Formation enthalpy at 0 K = 1.3 eV/f.u.

Unit cell a=3.4191 b=3.4191 c=31.5311 alpha=90.00 beta=90.00 gamma=120.00
Space group R-3m (No. 166, hexagonal axes)
Asymmetric unit:
Ac1 0.0000 0.0000 0.0000 [3 per cell]
Pa1 0.0000 0.0000 0.1072 [6 per cell]
Ni1 0.0000 0.0000 0.5000 [3 per cell]

5.
Density functional theory data (PBE) for a relaxed structure of AcPaNi3.

Formation enthalpy at 0 K = -1.4 eV/f.u.

Unit cell a=3.840 b=25.135 c=4.138 alpha=90.00 beta=90.00 gamma=90.00
Space group Cmcm (No. 63)
Asymmetric unit:
Ac1 0.000 0.073 0.250 [4 per cell]
Pa1 0.000 0.203 0.750 [4 per cell]
Ni1 0.000 0.311 0.750 [4 per cell]
Ni2 0.000 0.372 0.250 [4 per cell]
Ni3 0.000 0.473 0.250 [4 per cell]

6.
Density functional theory data (PBE) for a relaxed structure of AcPaNi4.

Formation enthalpy at 0 K = -1.0 eV/f.u.

Unit cell a=7.329 b=7.329 c=7.329 alpha=90.00 beta=90.00 gamma=90.00
Space group F-43m (No. 216)
Asymmetric unit:
Ac1 0.000 0.000 0.000 [4 per cell]
Pa1 0.250 0.250 0.750 [4 per cell]
Ni1 0.123 0.123 0.377 [16 per cell]

7.
Density functional theory data (PBE) for a relaxed structure of AcPaNi.

ΔE to the lowest computed polymorph = 102.6 meV per atom
Formation enthalpy at 0 K = 0.3 eV/f.u.

Unit cell a=4.779 b=5.531 c=11.869 alpha=90.00 beta=90.00 gamma=90.00
Space group Imma (No. 74)
Asymmetric unit:
Ac1 0.000 0.250 0.119 [4 per cell]
Pa1 0.000 0.250 0.581 [4 per cell]
Ni1 0.000 0.250 0.800 [4 per cell]

8.
Density functional theory data (PBE) for a relaxed structure of AcPaNi.

ΔE to the lowest computed polymorph = 0.0 meV per atom
Formation enthalpy at 0 K = 0.0 eV/f.u.

Unit cell a=3.591 b=3.591 c=12.140 alpha=90.00 beta=90.00 gamma=90.00
Space group I4mm (No. 107)
Asymmetric unit:
Ac1 0.000 0.000 0.000 [2 per cell]
Pa1 0.000 0.000 0.717 [2 per cell]
Ni1 0.000 0.000 0.298 [2 per cell]

| no. | size of the total moment (μB per atom) |
| --- | --- |
| 1 | 0.345 |
| 2 | 0.000 |
| 3 | 0.000 |
| 4 | 0.000 |
| 5 | 0.000 |
| 6 | 0.000 |
| 7 | 0.000 |
| 8 | 0.000 |